Entry 1:
## YEr3Tm2CuTe2 (PBE)

Data for YEr3Tm2CuTe2 after structural relaxation.

Unit cell a=3.922 b=8.348 c=8.348 alpha=119.86 beta=90.00 gamma=90.00
Sites, in units of the cell vectors:
Tm: 0.000 0.402 0.000
Tm: 0.000 0.000 0.402
Er: 0.500 0.758 0.001
Er: 0.500 0.242 0.242
Er: 0.500 0.001 0.758
Te: 0.500 0.667 0.333
Te: 0.500 0.333 0.667
Cu: 0.000 0.001 0.001
Y: 0.000 0.597 0.597

Output
Its total energy is -44.8 eV per cell. The space group is Amm2. The size of the total moment comes out at 0.05 μB/f.u. The density comes out at 8.7 g cm⁻³.


Entry 2:
## RbNaZrSe3 (PBE)

Data for RbNaZrSe3 after structural relaxation.

Unit cell a=7.889 b=7.889 c=10.989 alpha=90.00 beta=90.00 gamma=150.14
Sites, in units of the cell vectors:
Zr: 0.500 0.500 0.500
Zr: 0.500 0.500 0.000
Na: 0.936 0.064 0.250
Na: 0.064 0.936 0.750
Se: 0.550 0.450 0.250
Se: 0.450 0.550 0.750
Se: 0.122 0.878 0.978
Se: 0.878 0.122 0.478
Se: 0.878 0.122 0.022
Se: 0.122 0.878 0.522
Rb: 0.231 0.769 0.250
Rb: 0.769 0.231 0.750

Output
As for the relative energy among the computed polymorphs: 52.4 meV per atom. The space group is Cmcm. The size of the total moment comes out at 0.00 μB/f.u. The density comes out at 4.3 g cm⁻³.


Entry 3:
## Li2Nb2AlInCo2 (PBE)

Data for Li2Nb2AlInCo2 after structural relaxation.

Unit cell a=4.266 b=4.266 c=6.048 alpha=90.00 beta=90.00 gamma=90.00
Sites, in units of the cell vectors:
Nb: 0.500 0.500 0.000
Nb: 0.000 0.000 0.500
Co: 0.000 0.500 0.762
Co: 0.500 0.000 0.238
In: 0.500 0.500 0.500
Li: 0.000 0.500 0.241
Li: 0.500 0.000 0.759
Al: 0.000 0.000 0.000

Output
Its total energy is -46.6 eV per cell. The space group is P-4m2. The size of the total moment comes out at 0.00 μB/f.u. The density comes out at 6.9 g cm⁻³.


Entry 4:
## NaSb5Mo3 (PBE)

Data for NaSb5Mo3 after structural relaxation.

Unit cell a=5.583 b=5.583 c=8.670 alpha=90.00 beta=90.00 gamma=120.00
Sites, in units of the cell vectors:
Na: 0.000 0.000 0.000
Sb: 0.333 0.667 0.773
Sb: 0.667 0.333 0.227
Sb: 0.000 0.000 0.500
Sb: 0.667 0.333 0.773
Sb: 0.333 0.667 0.227
Mo: 0.000 0.500 0.500
Mo: 0.500 0.500 0.500
Mo: 0.500 0.000 0.500

Output
Its total energy is -53.9 eV per cell. The space group is P6/mmm. The size of the total moment comes out at 0.02 μB/f.u. The density comes out at 6.5 g cm⁻³.


Entry 5:
## Gd14C (PBE)

Data for Gd14C after structural relaxation.

Unit cell a=8.223 b=8.223 c=8.223 alpha=72.55 beta=72.55 gamma=72.55
Sites, in units of the cell vectors:
Gd: 0.311 0.311 0.902
Gd: 0.320 0.680 0.000
Gd: 0.000 0.320 0.680
Gd: 0.371 0.371 0.371
Gd: 0.689 0.098 0.689
Gd: 0.689 0.689 0.098
Gd: 0.000 0.680 0.320
Gd: 0.311 0.902 0.311
Gd: 0.680 0.320 0.000
Gd: 0.320 0.000 0.680
Gd: 0.629 0.629 0.629
Gd: 0.098 0.689 0.689
Gd: 0.902 0.311 0.311
Gd: 0.680 0.000 0.320
C: 0.500 0.500 0.500

Output
Its total energy is -66.2 eV per cell. The space group is R-3m. The size of the total moment comes out at 0.65 μB/f.u. The density comes out at 7.5 g cm⁻³.


Entry 6:
## TmCoAu (PBE)

Data for TmCoAu after structural relaxation.

Unit cell a=4.545 b=4.545 c=4.545 alpha=60.00 beta=60.00 gamma=60.00
Sites, in units of the cell vectors:
Co: 0.750 0.750 0.750
Au: 0.250 0.250 0.250
Tm: 0.000 0.000 0.000

Output
The space group is F-43m. The size of the total moment comes out at 1.03 μB/f.u. The formation energy is 241 meV per atom. The density comes out at 10.6 g cm⁻³.